Entry from the Alexandria database: Ba2Fe2S2OF2 after structural relaxation (PBE+U).

Values from the calculation:
Raw total energy (eV/atom): -5.762
SG: I4/mmm (139)

```
Ba2Fe2S2OF2
1.0
-2.0976 2.0976 9.6959
2.0976 -2.0976 9.6959
2.0976 2.0976 -9.6959
Ba Fe S O F
2 2 2 1 2
direct
0.1664 0.1664 0.0000 Ba
0.8336 0.8336 0.0000 Ba
0.0000 0.5000 0.5000 Fe
0.5000 0.0000 0.5000 Fe
0.4128 0.4128 0.0000 S
0.5872 0.5872 0.0000 S
0.0000 0.0000 0.0000 O
0.2500 0.7500 0.5000 F
0.7500 0.2500 0.5000 F
```